Entry 1:
DFT (GGA-PBE) results for a relaxed structure of BaSi4As7.

Structure (CIF):
```
data_BaSi4As7
_symmetry_space_group_name_H-M 'P 1'
_symmetry_Int_Tables_number 1
_cell_length_a 14.181
_cell_length_b 6.453
_cell_length_c 6.288
_cell_angle_alpha 90.00
_cell_angle_beta 90.00
_cell_angle_gamma 90.00
loop_
_symmetry_equiv_pos_as_xyz
'x,y,z'
loop_
_atom_site_label
_atom_site_type_symbol
_atom_site_fract_x
_atom_site_fract_y
_atom_site_fract_z
_atom_site_occupancy
Ba1 Ba 0.000 0.151 0.000 1
Ba2 Ba 0.500 0.849 0.500 1
Si1 Si 0.122 0.678 0.632 1
Si2 Si 0.243 0.177 0.616 1
Si3 Si 0.257 0.823 0.116 1
Si4 Si 0.378 0.322 0.132 1
Si5 Si 0.622 0.322 0.132 1
Si6 Si 0.743 0.823 0.116 1
Si7 Si 0.757 0.177 0.616 1
Si8 Si 0.878 0.678 0.632 1
As1 As 0.000 0.883 0.485 1
As2 As 0.099 0.338 0.479 1
As3 As 0.118 0.648 0.009 1
As4 As 0.235 0.177 0.003 1
As5 As 0.265 0.823 0.503 1
As6 As 0.382 0.352 0.509 1
As7 As 0.401 0.662 0.979 1
As8 As 0.500 0.117 0.985 1
As9 As 0.599 0.662 0.979 1
As10 As 0.618 0.352 0.509 1
As11 As 0.735 0.823 0.503 1
As12 As 0.765 0.177 0.003 1
As13 As 0.882 0.648 0.009 1
As14 As 0.901 0.338 0.479 1
```

* SG: Pmn2_1
* formation energy (no corrections): -1.72 eV/f.u.

Entry 2:
DFT (GGA-PBE) results for a relaxed structure of BaSiAs2.

Structure (CIF):
```
data_BaSiAs2
_symmetry_space_group_name_H-M 'P 1'
_symmetry_Int_Tables_number 1
_cell_length_a 7.629
_cell_length_b 7.629
_cell_length_c 7.629
_cell_angle_alpha 30.62
_cell_angle_beta 30.62
_cell_angle_gamma 30.62
loop_
_symmetry_equiv_pos_as_xyz
'x,y,z'
loop_
_atom_site_label
_atom_site_type_symbol
_atom_site_fract_x
_atom_site_fract_y
_atom_site_fract_z
_atom_site_occupancy
Ba1 Ba 0.000 0.000 0.000 1
Si1 Si 0.500 0.500 0.500 1
As1 As 0.225 0.225 0.225 1
As2 As 0.775 0.775 0.775 1
```

* SG: R-3m
* formation energy (no corrections): -0.82 eV/f.u.

Entry 3:
DFT (GGA-PBE) results for a relaxed structure of BaSiAs2.

Structure (CIF):
```
data_BaSiAs2
_symmetry_space_group_name_H-M 'P 1'
_symmetry_Int_Tables_number 1
_cell_length_a 5.384
_cell_length_b 5.384
_cell_length_c 5.695
_cell_angle_alpha 106.78
_cell_angle_beta 106.78
_cell_angle_gamma 42.54
loop_
_symmetry_equiv_pos_as_xyz
'x,y,z'
loop_
_atom_site_label
_atom_site_type_symbol
_atom_site_fract_x
_atom_site_fract_y
_atom_site_fract_z
_atom_site_occupancy
Ba1 Ba 0.000 0.000 0.000 1
Si1 Si 0.777 0.777 0.352 1
As1 As 0.229 0.229 0.605 1
As2 As 0.464 0.464 0.489 1
```

* SG: Cm
* formation energy (no corrections): -1.57 eV/f.u.

Entry 4:
DFT (GGA-PBE) results for a relaxed structure of Ba2SiAs.

Structure (CIF):
```
data_Ba2SiAs
_symmetry_space_group_name_H-M 'P 1'
_symmetry_Int_Tables_number 1
_cell_length_a 8.088
_cell_length_b 8.088
_cell_length_c 8.088
_cell_angle_alpha 35.37
_cell_angle_beta 35.37
_cell_angle_gamma 35.37
loop_
_symmetry_equiv_pos_as_xyz
'x,y,z'
loop_
_atom_site_label
_atom_site_type_symbol
_atom_site_fract_x
_atom_site_fract_y
_atom_site_fract_z
_atom_site_occupancy
Ba1 Ba 0.243 0.243 0.243 1
Ba2 Ba 0.757 0.757 0.757 1
Si1 Si 0.000 0.000 0.000 1
As1 As 0.500 0.500 0.500 1
```

* SG: R-3m
* formation energy (no corrections): -1.11 eV/f.u.
* energy above the most stable polymorph in this dataset: 373 meV/atom

Entry 5:
DFT (GGA-PBE) results for a relaxed structure of BaSiAs2.

Structure (CIF):
```
data_BaSiAs2
_symmetry_space_group_name_H-M 'P 1'
_symmetry_Int_Tables_number 1
_cell_length_a 4.636
_cell_length_b 4.636
_cell_length_c 4.560
_cell_angle_alpha 90.00
_cell_angle_beta 90.00
_cell_angle_gamma 90.00
loop_
_symmetry_equiv_pos_as_xyz
'x,y,z'
loop_
_atom_site_label
_atom_site_type_symbol
_atom_site_fract_x
_atom_site_fract_y
_atom_site_fract_z
_atom_site_occupancy
Ba1 Ba 0.000 0.000 0.000 1
Si1 Si 0.500 0.500 0.000 1
As1 As 0.000 0.500 0.500 1
As2 As 0.500 0.000 0.500 1
```

* SG: P4/mmm
* formation energy (no corrections): -0.02 eV/f.u.

Entry 6:
DFT (GGA-PBE) results for a relaxed structure of Ba3SiAs3.

Structure (CIF):
```
data_Ba3SiAs3
_symmetry_space_group_name_H-M 'P 1'
_symmetry_Int_Tables_number 1
_cell_length_a 10.588
_cell_length_b 10.588
_cell_length_c 13.373
_cell_angle_alpha 90.00
_cell_angle_beta 90.00
_cell_angle_gamma 37.94
loop_
_symmetry_equiv_pos_as_xyz
'x,y,z'
loop_
_atom_site_label
_atom_site_type_symbol
_atom_site_fract_x
_atom_site_fract_y
_atom_site_fract_z
_atom_site_occupancy
Ba1 Ba 0.004 0.645 0.131 1
Ba2 Ba 0.145 0.504 0.631 1
Ba3 Ba 0.169 0.831 0.853 1
Ba4 Ba 0.331 0.669 0.353 1
Ba5 Ba 0.355 0.996 0.131 1
Ba6 Ba 0.496 0.855 0.631 1
Ba7 Ba 0.504 0.145 0.369 1
Ba8 Ba 0.645 0.004 0.869 1
Ba9 Ba 0.669 0.331 0.647 1
Ba10 Ba 0.831 0.169 0.147 1
Ba11 Ba 0.855 0.496 0.369 1
Ba12 Ba 0.996 0.355 0.869 1
Si1 Si 0.086 0.086 0.500 1
Si2 Si 0.414 0.414 0.000 1
Si3 Si 0.586 0.586 0.000 1
Si4 Si 0.914 0.914 0.500 1
As1 As 0.028 0.659 0.385 1
As2 As 0.159 0.528 0.885 1
As3 As 0.186 0.814 0.599 1
As4 As 0.314 0.686 0.099 1
As5 As 0.341 0.972 0.385 1
As6 As 0.472 0.841 0.885 1
As7 As 0.528 0.159 0.115 1
As8 As 0.659 0.028 0.615 1
As9 As 0.686 0.314 0.901 1
As10 As 0.814 0.186 0.401 1
As11 As 0.841 0.472 0.115 1
As12 As 0.972 0.341 0.615 1
```

* SG: Cmce
* formation energy (no corrections): -6.07 eV/f.u.

Entry 7:
DFT (GGA-PBE) results for a relaxed structure of Ba4SiAs4.

Structure (CIF):
```
data_Ba4SiAs4
_symmetry_space_group_name_H-M 'P 1'
_symmetry_Int_Tables_number 1
_cell_length_a 9.447
_cell_length_b 9.447
_cell_length_c 6.875
_cell_angle_alpha 90.00
_cell_angle_beta 90.00
_cell_angle_gamma 90.00
loop_
_symmetry_equiv_pos_as_xyz
'x,y,z'
loop_
_atom_site_label
_atom_site_type_symbol
_atom_site_fract_x
_atom_site_fract_y
_atom_site_fract_z
_atom_site_occupancy
Ba1 Ba 0.018 0.250 0.067 1
Ba2 Ba 0.250 0.018 0.567 1
Ba3 Ba 0.250 0.482 0.567 1
Ba4 Ba 0.482 0.250 0.067 1
Ba5 Ba 0.518 0.750 0.933 1
Ba6 Ba 0.750 0.518 0.433 1
Ba7 Ba 0.750 0.982 0.433 1
Ba8 Ba 0.982 0.750 0.933 1
Si1 Si 0.250 0.750 0.250 1
Si2 Si 0.750 0.250 0.750 1
As1 As 0.033 0.750 0.444 1
As2 As 0.250 0.533 0.056 1
As3 As 0.250 0.967 0.056 1
As4 As 0.467 0.750 0.444 1
As5 As 0.533 0.250 0.556 1
As6 As 0.750 0.033 0.944 1
As7 As 0.750 0.467 0.944 1
As8 As 0.967 0.250 0.556 1
```

* SG: P4_2/nmc
* formation energy (no corrections): -8.77 eV/f.u.
* energy above the most stable polymorph in this dataset: 27 meV/atom

Entry 8:
DFT (GGA-PBE) results for a relaxed structure of BaSiAs3.

Structure (CIF):
```
data_BaSiAs3
_symmetry_space_group_name_H-M 'P 1'
_symmetry_Int_Tables_number 1
_cell_length_a 4.999
_cell_length_b 4.999
_cell_length_c 4.999
_cell_angle_alpha 90.00
_cell_angle_beta 90.00
_cell_angle_gamma 90.00
loop_
_symmetry_equiv_pos_as_xyz
'x,y,z'
loop_
_atom_site_label
_atom_site_type_symbol
_atom_site_fract_x
_atom_site_fract_y
_atom_site_fract_z
_atom_site_occupancy
Ba1 Ba 0.000 0.000 0.000 1
Si1 Si 0.500 0.500 0.500 1
As1 As 0.000 0.500 0.500 1
As2 As 0.500 0.000 0.500 1
As3 As 0.500 0.500 0.000 1
```

* SG: Pm-3m
* formation energy (no corrections): -0.65 eV/f.u.
* energy above the most stable polymorph in this dataset: 325 meV/atom

Entry 9:
DFT (GGA-PBE) results for a relaxed structure of BaSiAs2.

Structure (CIF):
```
data_BaSiAs2
_symmetry_space_group_name_H-M 'P 1'
_symmetry_Int_Tables_number 1
_cell_length_a 5.898
_cell_length_b 5.898
_cell_length_c 5.898
_cell_angle_alpha 144.83
_cell_angle_beta 116.91
_cell_angle_gamma 74.33
loop_
_symmetry_equiv_pos_as_xyz
'x,y,z'
loop_
_atom_site_label
_atom_site_type_symbol
_atom_site_fract_x
_atom_site_fract_y
_atom_site_fract_z
_atom_site_occupancy
Ba1 Ba 0.000 0.000 0.000 1
Si1 Si 0.500 0.500 0.000 1
As1 As 0.318 0.818 0.500 1
As2 As 0.682 0.182 0.500 1
```

* SG: Immm
* formation energy (no corrections): -0.94 eV/f.u.

Entry 10:
DFT (GGA-PBE) results for a relaxed structure of Ba4SiAs.

Structure (CIF):
```
data_Ba4SiAs
_symmetry_space_group_name_H-M 'P 1'
_symmetry_Int_Tables_number 1
_cell_length_a 6.905
_cell_length_b 6.905
_cell_length_c 6.905
_cell_angle_alpha 60.00
_cell_angle_beta 60.00
_cell_angle_gamma 60.00
loop_
_symmetry_equiv_pos_as_xyz
'x,y,z'
loop_
_atom_site_label
_atom_site_type_symbol
_atom_site_fract_x
_atom_site_fract_y
_atom_site_fract_z
_atom_site_occupancy
Ba1 Ba 0.125 0.125 0.125 1
Ba2 Ba 0.125 0.125 0.624 1
Ba3 Ba 0.125 0.624 0.125 1
Ba4 Ba 0.624 0.125 0.125 1
Si1 Si 0.750 0.750 0.750 1
As1 As 0.500 0.500 0.500 1
```

* SG: F-43m
* formation energy (no corrections): 2.78 eV/f.u.

Entry 11:
DFT (GGA-PBE) results for a relaxed structure of Ba2SiAs.

Structure (CIF):
```
data_Ba2SiAs
_symmetry_space_group_name_H-M 'P 1'
_symmetry_Int_Tables_number 1
_cell_length_a 5.575
_cell_length_b 5.575
_cell_length_c 5.575
_cell_angle_alpha 60.00
_cell_angle_beta 60.00
_cell_angle_gamma 60.00
loop_
_symmetry_equiv_pos_as_xyz
'x,y,z'
loop_
_atom_site_label
_atom_site_type_symbol
_atom_site_fract_x
_atom_site_fract_y
_atom_site_fract_z
_atom_site_occupancy
Ba1 Ba 0.000 0.000 0.000 1
Ba2 Ba 0.250 0.250 0.250 1
Si1 Si 0.750 0.750 0.750 1
As1 As 0.500 0.500 0.500 1
```

* SG: F-43m
* formation energy (no corrections): 0.06 eV/f.u.
* energy above the most stable polymorph in this dataset: 666 meV/atom

Entry 12:
DFT (GGA-PBE) results for a relaxed structure of BaSiAs2.

Structure (CIF):
```
data_BaSiAs2
_symmetry_space_group_name_H-M 'P 1'
_symmetry_Int_Tables_number 1
_cell_length_a 4.947
_cell_length_b 4.275
_cell_length_c 5.403
_cell_angle_alpha 90.00
_cell_angle_beta 96.29
_cell_angle_gamma 90.00
loop_
_symmetry_equiv_pos_as_xyz
'x,y,z'
loop_
_atom_site_label
_atom_site_type_symbol
_atom_site_fract_x
_atom_site_fract_y
_atom_site_fract_z
_atom_site_occupancy
Ba1 Ba 0.000 0.000 0.000 1
Si1 Si 0.500 0.000 0.500 1
As1 As 0.440 0.500 0.764 1
As2 As 0.560 0.500 0.236 1
```

* SG: P2/m
* formation energy (no corrections): -1.26 eV/f.u.